(1)
The following is a PBE calculation of Rb2SbI2Br4 after structural relaxation, from Alexandria via LeMat-Bulk.

## Properties
The uncorrected formation energy is -95 kJ/mol of atoms.

a = 8.0272 Å, b = 8.0272 Å, c = 11.1560 Å
α = 90.00°, β = 90.00°, γ = 90.00°
Space group I4/mmm (No. 139)
Asymmetric unit:
Rb 0.0000 0.5000 0.2500 (multiplicity 4)
Sb 0.0000 0.0000 0.0000 (multiplicity 2)
I 0.0000 0.0000 0.2622 (multiplicity 4)
Br 0.2402 0.2402 0.0000 (multiplicity 8)

***

(2)
The following is a PBE calculation of RbSbIBr2 after structural relaxation, from Alexandria via LeMat-Bulk.

## Properties
The uncorrected formation energy is -82 kJ/mol of atoms.

a = 5.8087 Å, b = 5.8087 Å, c = 6.1734 Å
α = 90.00°, β = 90.00°, γ = 90.00°
Space group P4/mmm (No. 123)
Asymmetric unit:
Rb 0.0000 0.0000 0.0000 (multiplicity 1)
Sb 0.5000 0.5000 0.5000 (multiplicity 1)
I 0.5000 0.5000 0.0000 (multiplicity 1)
Br 0.0000 0.5000 0.5000 (multiplicity 2)

***

(3)
The following is a PBE calculation of RbSb2IBr after structural relaxation, from Alexandria via LeMat-Bulk.

## Properties
The uncorrected formation energy is 77 kJ/mol of atoms.

a = 7.6890 Å, b = 7.6890 Å, c = 6.6126 Å
α = 90.00°, β = 90.00°, γ = 90.00°
Space group P4/mmm (No. 123)
Asymmetric unit:
Rb 0.0000 0.0000 0.0000 (multiplicity 1)
Sb 0.0000 0.5000 0.0000 (multiplicity 2)
I 0.0000 0.0000 0.5000 (multiplicity 1)
Br 0.5000 0.5000 0.5000 (multiplicity 1)

***

(4)
The following is a PBE calculation of RbSb2IBr after structural relaxation, from Alexandria via LeMat-Bulk.

## Properties
The uncorrected formation energy is 11 kJ/mol of atoms.

a = 5.5996 Å, b = 5.5996 Å, c = 7.9668 Å
α = 90.00°, β = 90.00°, γ = 90.00°
Space group P4/mmm (No. 123)
Asymmetric unit:
Rb 0.0000 0.0000 0.0000 (multiplicity 1)
Sb 0.0000 0.5000 0.5000 (multiplicity 2)
I 0.5000 0.5000 0.0000 (multiplicity 1)
Br 0.5000 0.5000 0.5000 (multiplicity 1)

***

(5)
The following is a PBE calculation of Rb2ScI6Br after structural relaxation, from Alexandria via LeMat-Bulk.

## Properties
The uncorrected formation energy is -94 kJ/mol of atoms.

a = 9.2599 Å, b = 9.2599 Å, c = 11.5642 Å
α = 90.00°, β = 90.00°, γ = 90.00°
Space group I4/mmm (No. 139)
Asymmetric unit:
Rb 0.0000 0.5000 0.2500 (multiplicity 4)
Sc 0.0000 0.0000 0.0000 (multiplicity 2)
I 0.0000 0.0000 0.2646 (multiplicity 4)
I 0.2164 0.2164 0.0000 (multiplicity 8)
Br 0.0000 0.0000 0.5000 (multiplicity 2)

***

(6)
The following is a PBE calculation of RbScIBr2 after structural relaxation, from Alexandria via LeMat-Bulk.

## Properties
The uncorrected formation energy is -137 kJ/mol of atoms.

a = 5.4530 Å, b = 5.4530 Å, c = 5.9723 Å
α = 90.00°, β = 90.00°, γ = 90.00°
Space group P4/mmm (No. 123)
Asymmetric unit:
Rb 0.0000 0.0000 0.0000 (multiplicity 1)
Sc 0.5000 0.5000 0.5000 (multiplicity 1)
I 0.5000 0.5000 0.0000 (multiplicity 1)
Br 0.0000 0.5000 0.5000 (multiplicity 2)

***

(7)
The following is a PBE calculation of Rb2ScIBr6 after structural relaxation, from Alexandria via LeMat-Bulk.

## Properties
The uncorrected formation energy is -124 kJ/mol of atoms.

a = 8.8886 Å, b = 8.8886 Å, c = 10.9481 Å
α = 90.00°, β = 90.00°, γ = 90.00°
Space group I4/mmm (No. 139)
Asymmetric unit:
Rb 0.0000 0.5000 0.2500 (multiplicity 4)
Sc 0.0000 0.0000 0.0000 (multiplicity 2)
I 0.0000 0.0000 0.5000 (multiplicity 2)
Br 0.0000 0.0000 0.2544 (multiplicity 4)
Br 0.2077 0.2077 0.0000 (multiplicity 8)

***

(8)
The following is a PBE calculation of RbSe2IBr after structural relaxation, from Alexandria via LeMat-Bulk.

## Properties
The uncorrected formation energy is -19 kJ/mol of atoms.

a = 5.5031 Å, b = 5.5031 Å, c = 5.9332 Å
α = 90.00°, β = 90.00°, γ = 90.00°
Space group P4/mmm (No. 123)
Asymmetric unit:
Rb 0.0000 0.0000 0.0000 (multiplicity 1)
Se 0.0000 0.5000 0.5000 (multiplicity 2)
I 0.5000 0.5000 0.5000 (multiplicity 1)
Br 0.5000 0.5000 0.0000 (multiplicity 1)

***

(9)
The following is a PBE calculation of RbSeI2Br after structural relaxation, from Alexandria via LeMat-Bulk.

## Properties
The uncorrected formation energy is -60 kJ/mol of atoms.

a = 5.9047 Å, b = 5.9047 Å, c = 5.5655 Å
α = 90.00°, β = 90.00°, γ = 90.00°
Space group P4/mmm (No. 123)
Asymmetric unit:
Rb 0.0000 0.0000 0.0000 (multiplicity 1)
Se 0.5000 0.5000 0.5000 (multiplicity 1)
I 0.0000 0.5000 0.5000 (multiplicity 2)
Br 0.5000 0.5000 0.0000 (multiplicity 1)

***

(10)
The following is a PBE calculation of RbSe2IBr after structural relaxation, from Alexandria via LeMat-Bulk.

## Properties
The uncorrected formation energy is 53 kJ/mol of atoms.

a = 6.7632 Å, b = 6.7632 Å, c = 6.3174 Å
α = 90.00°, β = 90.00°, γ = 90.00°
Space group P4/mmm (No. 123)
Asymmetric unit:
Rb 0.0000 0.0000 0.0000 (multiplicity 1)
Se 0.0000 0.5000 0.0000 (multiplicity 2)
I 0.5000 0.5000 0.5000 (multiplicity 1)
Br 0.0000 0.0000 0.5000 (multiplicity 1)

***

(11)
The following is a PBE calculation of Rb2SnIBr6 after structural relaxation, from Alexandria via LeMat-Bulk.

## Properties
The uncorrected formation energy is -90 kJ/mol of atoms.

a = 8.5333 Å, b = 8.5333 Å, c = 11.5606 Å
α = 90.00°, β = 90.00°, γ = 90.00°
Space group I4/mmm (No. 139)
Asymmetric unit:
Rb 0.0000 0.5000 0.2500 (multiplicity 4)
Sn 0.0000 0.0000 0.0000 (multiplicity 2)
I 0.0000 0.0000 0.5000 (multiplicity 2)
Br 0.0000 0.0000 0.2342 (multiplicity 4)
Br 0.2226 0.2226 0.0000 (multiplicity 8)

***

(12)
The following is a PBE calculation of RbSnI2Br after structural relaxation, from Alexandria via LeMat-Bulk.

## Properties
The uncorrected formation energy is -95 kJ/mol of atoms.

a = 8.7421 Å, b = 8.7421 Å, c = 11.8743 Å
α = 90.00°, β = 90.00°, γ = 90.00°
Space group I4cm (No. 108)
Asymmetric unit:
Rb 0.0000 0.5000 0.0000 (multiplicity 4)
Sn 0.0000 0.0000 0.2431 (multiplicity 4)
I 0.1914 0.3086 0.2496 (multiplicity 8)
Br 0.0000 0.0000 0.0059 (multiplicity 4)